Material: Sm3BiTe
Method: DFT, PBE-GGA
State: optimized geometry

Summary:
**Fermi-level density of states**: 3.65 states/eV/f.u.
**Distance to the lowest polymorph of the same formula**: 28.1 kJ/mol of atoms
**Uncorrected formation energy**: -0.6360 eV/atom

Cell: 17.693 4.372 10.657 Å, 90.00 107.87 90.00°
Space group C2/m (No. 12)
One atom of each set of equivalent atoms:
Sm 0.011 0.000 0.170 (multiplicity 4)
Sm 0.148 0.500 0.053 (multiplicity 4)
Sm 0.186 0.000 0.569 (multiplicity 4)
Bi 0.121 0.500 0.352 (multiplicity 4)
Te 0.166 0.000 0.843 (multiplicity 4)

***

Material: Sm5Bi5Te
Method: DFT, PBE-GGA
State: optimized geometry

Summary:
**Fermi-level density of states**: 5.33 states/eV/f.u.
**Uncorrected formation energy**: -0.7941 eV/atom

Cell: 14.277 6.334 9.059 Å, 90.00 108.99 90.00°
Space group C2/m (No. 12)
One atom of each set of equivalent atoms:
Sm 0.000 0.000 0.000 (multiplicity 2)
Sm 0.168 0.500 0.334 (multiplicity 4)
Sm 0.171 0.500 0.835 (multiplicity 4)
Bi 0.000 0.500 0.500 (multiplicity 2)
Bi 0.157 0.000 0.816 (multiplicity 4)
Bi 0.159 0.000 0.339 (multiplicity 4)
Te 0.000 0.500 0.000 (multiplicity 2)

***

Material: Sm6BiTe4
Method: DFT, PBE-GGA
State: optimized geometry

Summary:
**Fermi-level density of states**: 9.53 states/eV/f.u.
**Uncorrected formation energy**: -1.1538 eV/atom

Cell: 4.357 14.342 22.376 Å, 90.00 90.00 90.00°
Space group Cmcm (No. 63)
One atom of each set of equivalent atoms:
Sm 0.000 0.000 0.000 (multiplicity 4)
Sm 0.000 0.163 0.250 (multiplicity 4)
Sm 0.000 0.267 0.604 (multiplicity 8)
Sm 0.000 0.440 0.167 (multiplicity 8)
Bi 0.000 0.174 0.750 (multiplicity 4)
Te 0.000 0.081 0.126 (multiplicity 8)
Te 0.000 0.353 0.036 (multiplicity 8)

***

Material: SmBiTe
Method: DFT, PBE-GGA
State: optimized geometry

Summary:
**Fermi-level density of states**: 2.32 states/eV/f.u.
**Uncorrected formation energy**: -0.7893 eV/atom

Cell: 4.052 4.052 11.056 Å, 90.00 90.00 90.00°
Space group I4mm (No. 107)
One atom of each set of equivalent atoms:
Sm 0.000 0.000 0.000 (multiplicity 2)
Bi 0.000 0.000 0.324 (multiplicity 2)
Te 0.000 0.000 0.627 (multiplicity 2)